VASP calculation (PBE) on a relaxed La6Ga2Co crystal.

Geometry as POSCAR:
```
La6Ga2Co
1.0
7.3160 0.0000 0.0000
0.0000 7.3160 0.0000
0.0000 0.0000 11.6751
La Ga Co
12 4 2
Direct
0.1976 0.1976 0.1717
0.1976 0.1976 0.8283
0.2456 0.7544 0.0000
0.2544 0.2544 0.5000
0.3024 0.6976 0.3283
0.3024 0.6976 0.6717
0.6976 0.3024 0.3283
0.6976 0.3024 0.6717
0.7456 0.7456 0.5000
0.7544 0.2456 0.0000
0.8024 0.8024 0.1717
0.8024 0.8024 0.8283
0.0000 0.0000 0.3809
0.0000 0.0000 0.6191
0.5000 0.5000 0.1191
0.5000 0.5000 0.8809
0.0000 0.0000 0.0000
0.5000 0.5000 0.5000
```

Results
Fermi-level density of states in states/eV/cell: 27.63
E in eV/cell: -87.57
DFT formation energy in meV/atom: -118